VASP calculation (PBE) on a geometry-optimized Pu2CdGe4Au3 structure.

Final energy, eV per atom: -6.044
Calculated volume, Å³ per atom: 21.3
Total magnetic moment, μB/cell: 11.0
E_form, eV/atom: -0.26

a b c (Å): 4.316 4.316 11.416
angles (deg): 90.00 90.00 90.00
Positions (direct):
1 Pu 0.000 0.500 0.247
2 Pu 0.500 0.000 0.753
3 Cd 0.500 0.500 0.000
4 Ge 0.000 0.000 0.500
5 Ge 0.000 0.500 0.854
6 Ge 0.500 0.000 0.146
7 Ge 0.500 0.500 0.500
8 Au 0.000 0.000 0.000
9 Au 0.000 0.500 0.636
10 Au 0.500 0.000 0.364